1.
VASP calculation (meta-GGA SCAN) on a crystal of MgCr3Au relaxed with PBEsol.

a b c (Å): 4.9425 4.9425 4.9425
angles (deg): 90.00 90.00 90.00
Last column: nearest neighbours and their distance in Å.
Sites, in units of the cell vectors:
Mg (0.0000, 0.0000, 0.0000)  12 Cr 3.49
Cr (0.0000, 0.5000, 0.5000)  2 Au 2.47
Cr (0.5000, 0.0000, 0.5000)  2 Au 2.47
Cr (0.5000, 0.5000, 0.0000)  2 Au 2.47
Au (0.5000, 0.5000, 0.5000)  6 Cr 2.47

Values from the calculation:
SG: Pm-3m (221)
ΔE to the lowest computed polymorph: 0.000 eV per formula unit
energy of formation: 0.811 eV/atom



2.
VASP calculation (meta-GGA SCAN) on a crystal of Ga2Sn2Se relaxed with PBEsol.

a b c (Å): 6.5185 6.5185 6.5185
angles (deg): 139.06 139.06 59.29
Last column: nearest neighbours and their distance in Å.
Sites, in units of the cell vectors:
Ga (0.1032, 0.1032, 0.0000)  1 Ga 2.34
Ga (0.8968, 0.8968, 0.0000)  1 Ga 2.34
Sn (0.2500, 0.7500, 0.5000)  4 Ga 2.82
Sn (0.7500, 0.2500, 0.5000)  4 Ga 2.82
Se (0.5000, 0.5000, 0.0000)  8 Ga 3.43, 8 Sn 3.64

Values from the calculation:
SG: I4/mmm (139)
ΔE_f (raw): 0.2056 eV/atom



3.
VASP calculation (meta-GGA SCAN) on a crystal of Ba2NaHg2 relaxed with PBEsol.

a b c (Å): 9.0859 9.0859 4.3933
angles (deg): 90.00 90.00 90.00
Last column: nearest neighbours and their distance in Å.
Sites, in units of the cell vectors:
Ba (0.1602, 0.3398, 0.0000)  6 Hg 3.44-3.47
Ba (0.3398, 0.8398, 0.0000)  6 Hg 3.44-3.47
Ba (0.6602, 0.1602, 0.0000)  6 Hg 3.44-3.47
Ba (0.8398, 0.6602, 0.0000)  6 Hg 3.44-3.47
Na (0.0000, 0.0000, 0.5000)  4 Hg 3.54
Na (0.5000, 0.5000, 0.5000)  4 Hg 3.54
Hg (0.1339, 0.6339, 0.5000)  6 Ba 3.44-3.47, 1 Hg 3.44, 2 Na 3.54
Hg (0.3661, 0.1339, 0.5000)  6 Ba 3.44-3.47, 1 Hg 3.44, 2 Na 3.54
Hg (0.6339, 0.8661, 0.5000)  6 Ba 3.44-3.47, 1 Hg 3.44, 2 Na 3.54
Hg (0.8661, 0.3661, 0.5000)  6 Ba 3.44-3.47, 1 Hg 3.44, 2 Na 3.54

Values from the calculation:
SG: P4/mbm (127)
energy of formation: -0.517 eV/atom



4.
VASP calculation (meta-GGA SCAN) on a crystal of HgAsPtCl2 relaxed with PBEsol.

a b c (Å): 4.8079 4.8079 5.4760
angles (deg): 90.00 90.00 90.00
Last column: nearest neighbours and their distance in Å.
Sites, in units of the cell vectors:
Hg (0.0000, 0.0000, 0.0000)  4 Cl 2.40
As (0.0000, 0.0000, 0.5000)  2 Hg 2.74
Pt (0.5000, 0.5000, 0.5000)  4 As 3.40, 8 Cl 3.64
Cl (0.0000, 0.5000, 0.0000)  2 Hg 2.40
Cl (0.5000, 0.0000, 0.0000)  2 Hg 2.40

Values from the calculation:
SG: P4/mmm (123)
ΔE_f (raw): 0.9652 eV/atom



5.
VASP calculation (meta-GGA SCAN) on a crystal of Tc2AgRu relaxed with PBEsol.

a b c (Å): 4.8367 4.8367 4.8367
angles (deg): 134.36 134.36 66.52
Last column: nearest neighbours and their distance in Å.
Sites, in units of the cell vectors:
Tc (0.2500, 0.7500, 0.5000)  4 Tc 2.65, 4 Ru 2.76, 4 Ag 2.76
Tc (0.7500, 0.2500, 0.5000)  4 Tc 2.65, 4 Ru 2.76, 4 Ag 2.76
Ag (0.0000, 0.0000, 0.0000)  4 Ru 2.65, 8 Tc 2.76
Ru (0.5000, 0.5000, 0.0000)  4 Ag 2.65, 8 Tc 2.76

Values from the calculation:
SG: I4/mmm (139)
ΔE to the lowest computed polymorph: 0.725 eV per formula unit
energy of formation: 0.509 eV/atom



6.
VASP calculation (meta-GGA SCAN) on a crystal of KMnP3HO10 relaxed with PBEsol.

a b c (Å): 7.1973 7.3413 9.1952
angles (deg): 71.23 73.47 70.01
Last column: nearest neighbours and their distance in Å.
Sites, in units of the cell vectors:
K (0.0000, 0.0000, 0.0000)  4 O 2.72-2.86
K (0.1438, 0.9103, 0.4772)  4 O 2.72-2.86
Mn (0.0719, 0.4552, 0.2394)  4 O 1.88-1.91
Mn (0.5719, 0.9551, 0.7394)  4 O 1.92-1.93
P (0.3145, 0.3379, 0.5241)  4 O 1.52-1.62
P (0.4082, 0.1494, 0.0340)  4 O 1.51-1.63
P (0.4237, 0.5615, 0.9555)  4 O 1.49-1.59
P (0.7202, 0.3488, 0.5234)  4 O 1.49-1.59
P (0.7356, 0.7609, 0.4448)  4 O 1.51-1.63
P (0.8294, 0.5723, 0.9547)  4 O 1.52-1.62
H (0.0722, 0.4551, 0.7391)  2 O 1.20-1.21
H (0.5720, 0.9552, 0.2392)  2 O 1.20
O (0.1713, 0.4955, 0.6100)  1 H 1.20
O (0.2097, 0.1870, 0.1489)  1 P 1.51
O (0.2475, 0.6035, 0.0898)  1 P 1.52
O (0.2543, 0.3416, 0.3776)  1 P 1.52
O (0.3579, 0.1249, 0.6279)  1 P 1.53
O (0.4028, 0.0335, 0.9241)  1 P 1.53
O (0.4193, 0.7252, 0.8083)  1 P 1.49
O (0.4353, 0.3626, 0.9164)  2 P 1.58-1.63
O (0.5226, 0.4016, 0.4554)  2 P 1.59-1.62
O (0.5483, 0.8508, 0.3704)  1 H 1.20
O (0.5956, 0.0594, 0.1083)  1 H 1.20
O (0.6212, 0.5086, 0.0235)  2 P 1.59-1.62
O (0.7085, 0.5477, 0.5624)  2 P 1.58-1.63
O (0.7245, 0.1851, 0.6706)  1 P 1.49
O (0.7410, 0.8768, 0.5547)  1 P 1.53
O (0.7859, 0.7853, 0.8510)  1 P 1.53
O (0.8895, 0.5687, 0.1012)  1 P 1.52
O (0.8963, 0.3068, 0.3891)  1 P 1.52
O (0.9342, 0.7232, 0.3300)  1 P 1.51
O (0.9726, 0.4147, 0.8688)  1 H 1.21

Values from the calculation:
SG: P1 (1)
uncorrected energy: -321.09 eV per cell



7.
VASP calculation (meta-GGA SCAN) on a crystal of RbVI2O8 relaxed with PBEsol.

a b c (Å): 5.2345 7.8666 9.7816
angles (deg): 108.08 91.83 90.78
Last column: nearest neighbours and their distance in Å.
Sites, in units of the cell vectors:
Rb (0.2451, 0.1973, 0.4204)  7 O 2.88-3.14
Rb (0.7549, 0.8027, 0.5796)  7 O 2.88-3.14
V (0.2750, 0.6396, 0.8043)  2 O 1.65
V (0.7250, 0.3604, 0.1957)  2 O 1.65
I (0.1769, 0.1422, 0.9442)  3 O 1.85-1.89
I (0.2292, 0.6293, 0.2605)  3 O 1.79-1.92
I (0.7708, 0.3707, 0.7395)  3 O 1.79-1.92
I (0.8231, 0.8578, 0.0558)  3 O 1.85-1.89
O (0.0245, 0.4750, 0.6611)  1 I 1.86, 1 V 2.02
O (0.0569, 0.3310, 0.0982)  1 I 1.89, 1 V 1.99
O (0.1384, 0.9718, 0.1090)  1 I 1.85
O (0.1576, 0.2593, 0.8066)  1 I 1.85
O (0.2778, 0.8282, 0.4105)  1 I 1.79
O (0.3007, 0.8334, 0.7736)  1 V 1.65
O (0.4389, 0.6559, 0.9553)  1 V 1.65
O (0.4889, 0.4984, 0.3241)  1 V 1.89, 1 I 1.92
O (0.5111, 0.5016, 0.6759)  1 V 1.89, 1 I 1.92
O (0.5611, 0.3441, 0.0447)  1 V 1.65
O (0.6993, 0.1666, 0.2264)  1 V 1.65
O (0.7222, 0.1718, 0.5895)  1 I 1.79
O (0.8424, 0.7407, 0.1934)  1 I 1.85
O (0.8616, 0.0282, 0.8910)  1 I 1.85
O (0.9431, 0.6690, 0.9018)  1 I 1.89, 1 V 1.99
O (0.9755, 0.5250, 0.3389)  1 I 1.86, 1 V 2.02

Values from the calculation:
SG: P-1 (2)
ΔE_f (raw): -1.2664 eV/atom



8.
VASP calculation (meta-GGA SCAN) on a crystal of Zn2HgIr relaxed with PBEsol.

a b c (Å): 3.1896 3.1896 6.0708
angles (deg): 90.00 90.00 90.00
Last column: nearest neighbours and their distance in Å.
Sites, in units of the cell vectors:
Zn (0.0000, 0.0000, 0.0000)  4 Ir 2.55, 4 Zn 2.66
Zn (0.5000, 0.5000, 0.2323)  1 Ir 2.60, 4 Zn 2.66, 4 Hg 2.79
Hg (0.0000, 0.0000, 0.5015)  6 Zn 2.79-3.04, 4 Ir 2.91
Ir (0.5000, 0.5000, 0.8034)  5 Zn 2.55-2.60

Values from the calculation:
SG: P4mm (99)
energy of formation: 0.137 eV/atom



9.
VASP calculation (meta-GGA SCAN) on a crystal of TbBiPd2 relaxed with PBEsol.

a b c (Å): 4.8300 4.8300 4.8300
angles (deg): 60.00 60.00 60.00
Last column: nearest neighbours and their distance in Å.
Sites, in units of the cell vectors:
Tb (0.0000, 0.0000, 0.0000)  8 Pd 2.96
Bi (0.5000, 0.5000, 0.5000)  8 Pd 2.96
Pd (0.2500, 0.2500, 0.2500)  4 Bi 2.96, 4 Tb 2.96
Pd (0.7500, 0.7500, 0.7500)  4 Tb 2.96, 4 Bi 2.96

Values from the calculation:
SG: Fm-3m (225)
energy of formation: -0.796 eV/atom



10.
VASP calculation (meta-GGA SCAN) on a crystal of Mg2Ir relaxed with PBEsol.

a b c (Å): 8.3816 8.3816 8.3816
angles (deg): 60.00 60.00 60.00
Last column: nearest neighbours and their distance in Å.
Sites, in units of the cell vectors:
Mg (0.0000, 0.0000, 0.0000)  6 Ir 2.59
Mg (0.0000, 0.0000, 0.5000)  6 Ir 2.59
Mg (0.0000, 0.5000, 0.0000)  6 Ir 2.59
Mg (0.1743, 0.1743, 0.5757)  4 Ir 2.77-2.91, 6 Mg 2.94-3.08
Mg (0.1743, 0.5757, 0.1743)  4 Ir 2.77-2.91, 6 Mg 2.94-3.08
Mg (0.1743, 0.5757, 0.5757)  4 Ir 2.77-2.91, 6 Mg 2.94-3.08
Mg (0.4243, 0.4243, 0.8257)  4 Ir 2.77-2.91, 6 Mg 2.94-3.08
Mg (0.4243, 0.8257, 0.4243)  4 Ir 2.77-2.91, 6 Mg 2.94-3.08
Mg (0.4243, 0.8257, 0.8257)  4 Ir 2.77-2.91, 6 Mg 2.94-3.08
Mg (0.5000, 0.0000, 0.0000)  6 Ir 2.59
Mg (0.5757, 0.1743, 0.1743)  4 Ir 2.77-2.91, 6 Mg 2.94-3.08
Mg (0.5757, 0.1743, 0.5757)  4 Ir 2.77-2.91, 6 Mg 2.94-3.08
Mg (0.5757, 0.5757, 0.1743)  4 Ir 2.77-2.91, 6 Mg 2.94-3.08
Mg (0.8257, 0.4243, 0.4243)  4 Ir 2.77-2.91, 6 Mg 2.94-3.08
Mg (0.8257, 0.4243, 0.8257)  4 Ir 2.77-2.91, 6 Mg 2.94-3.08
Mg (0.8257, 0.8257, 0.4243)  4 Ir 2.77-2.91, 6 Mg 2.94-3.08
Ir (0.1366, 0.7878, 0.7878)  6 Mg 2.59-2.77
Ir (0.2122, 0.2122, 0.2122)  6 Mg 2.59-2.77
Ir (0.2122, 0.2122, 0.8634)  6 Mg 2.59-2.77
Ir (0.2122, 0.8634, 0.2122)  6 Mg 2.59-2.77
Ir (0.7878, 0.1366, 0.7878)  6 Mg 2.59-2.77
Ir (0.7878, 0.7878, 0.1366)  6 Mg 2.59-2.77
Ir (0.7878, 0.7878, 0.7878)  6 Mg 2.59-2.77
Ir (0.8634, 0.2122, 0.2122)  6 Mg 2.59-2.77

Values from the calculation:
SG: Fd-3m (227)
energy of formation: -0.415 eV/atom



11.
VASP calculation (meta-GGA SCAN) on a crystal of CoOs2 relaxed with PBEsol.

a b c (Å): 4.2268 4.2268 2.6214
angles (deg): 90.00 90.00 120.00
Last column: nearest neighbours and their distance in Å.
Sites, in units of the cell vectors:
Co (0.0000, 0.0000, 0.0000)  2 Co 2.62, 12 Os 2.73-2.81
Os (0.3333, 0.6667, 0.4689)  5 Os 2.45-2.62, 3 Co 2.73
Os (0.6667, 0.3333, 0.5311)  5 Os 2.45-2.62, 3 Co 2.73

Values from the calculation:
SG: P-3m1 (164)
ΔE to the lowest computed polymorph: 1.079 eV per formula unit
energy of formation: 0.506 eV/atom



12.
VASP calculation (meta-GGA SCAN) on a crystal of KP2I relaxed with PBEsol.

a b c (Å): 6.6382 6.6382 6.6382
angles (deg): 101.58 101.58 126.77
Last column: nearest neighbours and their distance in Å.
Sites, in units of the cell vectors:
K (0.0000, 0.0000, 0.0000)  2 I 2.97, 4 P 3.23
K (0.7500, 0.2500, 0.5000)  2 I 2.97, 4 P 3.23
P (0.1545, 0.6250, 0.0295)  2 I 2.89, 2 P 3.01, 2 K 3.23
P (0.3750, 0.4045, 0.5295)  2 I 2.89, 2 P 3.01, 2 K 3.23
P (0.5955, 0.1250, 0.9705)  2 I 2.89, 2 P 3.01, 2 K 3.23
P (0.8750, 0.8455, 0.4705)  2 I 2.89, 2 P 3.01, 2 K 3.23
I (0.2500, 0.7500, 0.5000)  4 P 2.89, 2 K 2.97
I (0.5000, 0.5000, 0.0000)  4 P 2.89, 2 K 2.97

Values from the calculation:
SG: I-42d (122)
ΔE to the lowest computed polymorph: 0.000 eV per formula unit
ΔE_f (raw): 0.5959 eV/atom



13.
VASP calculation (meta-GGA SCAN) on a crystal of BaMnNi relaxed with PBEsol.

a b c (Å): 4.9204 4.9204 4.9204
angles (deg): 60.00 60.00 60.00
Last column: nearest neighbours and their distance in Å.
Sites, in units of the cell vectors:
Ba (0.0000, 0.0000, 0.0000)  4 Mn 3.01, 4 Ni 3.01
Mn (0.7500, 0.7500, 0.7500)  4 Ba 3.01
Ni (0.2500, 0.2500, 0.2500)  4 Ba 3.01

Values from the calculation:
SG: F-43m (216)
energy of formation: 1.213 eV/atom



14.
VASP calculation (meta-GGA SCAN) on a crystal of KCaMg4 relaxed with PBEsol.

a b c (Å): 6.3301 6.3301 6.3301
angles (deg): 60.00 60.00 60.00
Last column: nearest neighbours and their distance in Å.
Sites, in units of the cell vectors:
K (0.0000, 0.0000, 0.0000)  12 Mg 3.71, 4 Ca 3.88
Ca (0.7500, 0.7500, 0.7500)  12 Mg 3.71, 4 K 3.88
Mg (0.3759, 0.3759, 0.3759)  6 Mg 3.14-3.19
Mg (0.3759, 0.3759, 0.8724)  6 Mg 3.14-3.19
Mg (0.3759, 0.8724, 0.3759)  6 Mg 3.14-3.19
Mg (0.8724, 0.3759, 0.3759)  6 Mg 3.14-3.19

Values from the calculation:
SG: F-43m (216)
energy of formation: 0.032 eV/atom



15.
VASP calculation (meta-GGA SCAN) on a crystal of Ba3TlBi relaxed with PBEsol.

a b c (Å): 6.3510 6.3510 6.3510
angles (deg): 90.00 90.00 90.00
Last column: nearest neighbours and their distance in Å.
Sites, in units of the cell vectors:
Ba (0.0000, 0.0000, 0.5000)  2 Tl 3.18
Ba (0.0000, 0.5000, 0.0000)  2 Tl 3.18
Ba (0.5000, 0.0000, 0.0000)  2 Tl 3.18
Tl (0.0000, 0.0000, 0.0000)  6 Ba 3.18
Bi (0.5000, 0.5000, 0.5000)  12 Ba 4.49

Values from the calculation:
SG: Pm-3m (221)
energy of formation: -0.332 eV/atom



16.
VASP calculation (meta-GGA SCAN) on a crystal of SrInMo2 relaxed with PBEsol.

a b c (Å): 5.8520 5.8520 5.8520
angles (deg): 146.64 127.46 63.68
Last column: nearest neighbours and their distance in Å.
Sites, in units of the cell vectors:
Sr (0.0000, 0.0000, 0.0000)  8 Mo 3.15-3.47, 4 In 3.33, 2 Sr 3.36
In (0.2893, 0.7893, 0.5000)  8 Mo 3.14-3.45, 4 Sr 3.33, 2 In 3.36
Mo (0.5606, 0.5606, 0.0000)  2 Mo 2.39
Mo (0.7316, 0.2316, 0.5000)  2 Mo 2.39

Values from the calculation:
SG: Imm2 (44)
energy of formation: 0.592 eV/atom



17.
VASP calculation (meta-GGA SCAN) on a crystal of CdSbOs3 relaxed with PBEsol.

a b c (Å): 4.7748 4.7748 4.7748
angles (deg): 90.00 90.00 90.00
Last column: nearest neighbours and their distance in Å.
Sites, in units of the cell vectors:
Cd (0.0000, 0.0000, 0.0000)  12 Os 3.38
Sb (0.5000, 0.5000, 0.5000)  6 Os 2.39
Os (0.0000, 0.5000, 0.5000)  2 Sb 2.39
Os (0.5000, 0.0000, 0.5000)  2 Sb 2.39
Os (0.5000, 0.5000, 0.0000)  2 Sb 2.39

Values from the calculation:
SG: Pm-3m (221)
ΔE_f (raw): 2.3498 eV/atom



18.
VASP calculation (meta-GGA SCAN) on a crystal of NiPOs relaxed with PBEsol.

a b c (Å): 3.7898 3.7898 3.7898
angles (deg): 60.00 60.00 60.00
Last column: nearest neighbours and their distance in Å.
Sites, in units of the cell vectors:
Ni (0.0000, 0.0000, 0.0000)  4 P 2.32
P (0.2500, 0.2500, 0.2500)  4 Ni 2.32, 4 Os 2.32
Os (0.5000, 0.5000, 0.5000)  4 P 2.32

Values from the calculation:
SG: F-43m (216)
energy of formation: -0.336 eV/atom



19.
VASP calculation (meta-GGA SCAN) on a crystal of LiGa2AuCl relaxed with PBEsol.

a b c (Å): 5.2217 5.2217 4.8660
angles (deg): 90.00 90.00 90.00
Last column: nearest neighbours and their distance in Å.
Sites, in units of the cell vectors:
Li (0.0000, 0.0000, 0.0000)  8 Ga 3.57, 4 Au 3.69
Ga (0.0000, 0.5000, 0.5000)  2 Cl 2.61
Ga (0.5000, 0.0000, 0.5000)  2 Cl 2.61
Au (0.5000, 0.5000, 0.0000)  2 Cl 2.43
Cl (0.5000, 0.5000, 0.5000)  2 Au 2.43, 4 Ga 2.61

Values from the calculation:
SG: P4/mmm (123)
ΔE_f (raw): 0.4316 eV/atom



20.
VASP calculation (meta-GGA SCAN) on a crystal of Mn3InAs relaxed with PBEsol.

a b c (Å): 4.8790 4.8790 4.8790
angles (deg): 90.00 90.00 90.00
Last column: nearest neighbours and their distance in Å.
Sites, in units of the cell vectors:
Mn (0.0000, 0.0000, 0.5000)  2 In 2.44
Mn (0.0000, 0.5000, 0.0000)  2 In 2.44
Mn (0.5000, 0.0000, 0.0000)  2 In 2.44
In (0.0000, 0.0000, 0.0000)  6 Mn 2.44
As (0.5000, 0.5000, 0.5000)  12 Mn 3.45

Values from the calculation:
SG: Pm-3m (221)
energy of formation: 0.791 eV/atom



What M_tot values result from the calculations? In sequence: 2.711, 0.000, 0.000, 0.305, 0.000, 0.250, 0.000, 0.000, 0.000, 0.000, 0.712, 0.000, 1.684, 0.038, 0.000, 0.000, 0.334, 0.000, 0.000, 2.608 μB per atom.